Here is crystalline Sc12Bi6Os at its relaxed geometry from Alexandria via LeMat-Bulk. Energies are from PBE-GGA.

- E: -6.18 eV per atom
- Total magnetic moment: 0.00 Bohr magnetons per cell
- Space group: No. 148

```
Sc12Bi6Os
1.0
-0.354 3.872 7.195
-3.724 -7.014 1.955
7.804 -2.446 0.064
Sc Bi Os
12 6 1
Cartesian
1.496 -5.182 4.940
2.562 -3.369 2.343
1.163 -2.220 6.871
1.320 -5.049 8.778
4.222 -2.921 5.208
-0.708 -2.322 0.614
4.048 -6.387 6.862
2.406 -0.540 0.436
-0.323 0.799 2.351
4.434 -3.266 8.599
-0.496 -2.667 4.005
2.229 -0.407 4.274
0.049 -4.929 2.112
4.275 -5.573 3.879
4.557 -1.141 2.587
-0.831 -4.447 6.627
3.676 -0.660 7.102
-0.549 -0.015 5.334
0.000 0.000 0.000
```

***

Here is crystalline ScBi3Os at its relaxed geometry from Alexandria via LeMat-Bulk. Energies are from PBE-GGA.

- E: -4.46 eV per atom
- Total magnetic moment: 3.06 Bohr magnetons per cell
- Space group: No. 221

```
ScBi3Os
1.0
-4.946 -2.307 -0.527
2.301 -4.403 -2.320
0.553 -2.315 4.940
Os Sc Bi
1 1 3
Cartesian
-1.046 -4.512 1.046
0.000 0.000 0.000
-2.473 -1.154 -0.264
0.276 -1.157 2.470
1.151 -2.201 -1.160
```